Entry 1:
# Pm4YTm8

A relaxed structure of Pm4YTm8 (PBE, Alexandria via LeMat-Bulk).

CIF file:
```
data_Pm4YTm8
_space_group_name_H-M_alt 'R -3 m'
_space_group_IT_number 166
_space_group_name_Hall '-R 3 2"'
_cell_length_a 7.3709
_cell_length_b 7.3709
_cell_length_c 26.5220
_cell_angle_alpha 90.00
_cell_angle_beta 90.00
_cell_angle_gamma 120.00
loop_
_atom_site_label
_atom_site_type_symbol
_atom_site_fract_x
_atom_site_fract_y
_atom_site_fract_z
Pm1 Pm 0.0000 0.0000 0.0000
Pm2 Pm 0.0000 0.5000 0.0000
Y1 Y 0.0000 0.0000 0.5000
Tm1 Tm 0.0000 0.0000 0.2180
Tm2 Tm 0.0425 0.5212 0.7714
```

formation energy from the elements: 0.2263 eV per atom
total magnetic moment: 0.00 μB per atom

Entry 2:
# Fe4SiTc

A relaxed structure of Fe4SiTc (PBE, Alexandria via LeMat-Bulk).

CIF file:
```
data_Fe4SiTc
_space_group_name_H-M_alt 'F -4 3 m'
_space_group_IT_number 216
_space_group_name_Hall 'F -4 2 3'
_cell_length_a 6.6167
_cell_length_b 6.6167
_cell_length_c 6.6167
_cell_angle_alpha 90.00
_cell_angle_beta 90.00
_cell_angle_gamma 90.00
loop_
_atom_site_label
_atom_site_type_symbol
_atom_site_fract_x
_atom_site_fract_y
_atom_site_fract_z
Fe1 Fe 0.1254 0.1254 0.1254
Si1 Si 0.2500 0.2500 0.7500
Tc1 Tc 0.0000 0.0000 0.5000
```

raw formation energy: 102 meV per atom
total magnetic moment: 1.35 μB per atom

Entry 3:
# Pr3Dy2Ho8

A relaxed structure of Pr3Dy2Ho8 (PBE, Alexandria via LeMat-Bulk).

CIF file:
```
data_Pr3Dy2Ho8
_space_group_name_H-M_alt 'C 1 2/m 1'
_space_group_IT_number 12
_space_group_name_Hall '-C 2y'
_cell_length_a 22.7482
_cell_length_b 5.5649
_cell_length_c 6.8168
_cell_angle_alpha 90.00
_cell_angle_beta 101.78
_cell_angle_gamma 90.00
loop_
_atom_site_label
_atom_site_type_symbol
_atom_site_fract_x
_atom_site_fract_y
_atom_site_fract_z
Pr1 Pr 0.0000 0.0000 0.0000
Pr2 Pr 0.0118 0.5000 0.2895
Dy1 Dy 0.2291 0.0000 0.8115
Ho1 Ho 0.0772 0.0000 0.5932
Ho2 Ho 0.1243 0.5000 0.9841
Ho3 Ho 0.1681 0.5000 0.5229
Ho4 Ho 0.1785 0.0000 0.2652
```

E above lowest polymorph: 0 meV/atom
formation energy from the elements: 0.0900 eV per atom
total magnetic moment: 0.00 μB per atom

Entry 4:
# TiNbCr

A relaxed structure of TiNbCr (PBE, Alexandria via LeMat-Bulk).

CIF file:
```
data_TiNbCr
_space_group_name_H-M_alt 'I m m a'
_space_group_IT_number 74
_space_group_name_Hall '-I 2b 2'
_cell_length_a 4.8650
_cell_length_b 5.3492
_cell_length_c 7.1794
_cell_angle_alpha 90.00
_cell_angle_beta 90.00
_cell_angle_gamma 90.00
loop_
_atom_site_label
_atom_site_type_symbol
_atom_site_fract_x
_atom_site_fract_y
_atom_site_fract_z
Ti1 Ti 0.0000 0.0000 0.0000
Nb1 Nb 0.0000 0.2500 0.3766
Cr1 Cr 0.2500 0.2500 0.7500
```

formation energy from the elements: 0.0034 eV per atom
total magnetic moment: 0.00 μB per atom

Entry 5:
# K2TcAu

A relaxed structure of K2TcAu (PBE, Alexandria via LeMat-Bulk).

CIF file:
```
data_K2TcAu
_space_group_name_H-M_alt 'F m -3 m'
_space_group_IT_number 225
_space_group_name_Hall '-F 4 2 3'
_cell_length_a 7.9703
_cell_length_b 7.9703
_cell_length_c 7.9703
_cell_angle_alpha 90.00
_cell_angle_beta 90.00
_cell_angle_gamma 90.00
loop_
_atom_site_label
_atom_site_type_symbol
_atom_site_fract_x
_atom_site_fract_y
_atom_site_fract_z
K1 K 0.2500 0.2500 0.2500
Tc1 Tc 0.0000 0.0000 0.0000
Au1 Au 0.0000 0.0000 0.5000
```

E above lowest polymorph: 468 meV/atom
formation energy from the elements: 1.0905 eV per atom
total magnetic moment: 1.00 μB per atom

Entry 6:
# Tb2Tm3Cd3

A relaxed structure of Tb2Tm3Cd3 (PBE, Alexandria via LeMat-Bulk).

CIF file:
```
data_Tb2Tm3Cd3
_space_group_name_H-M_alt 'P m m m'
_space_group_IT_number 47
_space_group_name_Hall '-P 2 2'
_cell_length_a 4.8421
_cell_length_b 4.8516
_cell_length_c 9.1446
_cell_angle_alpha 90.00
_cell_angle_beta 90.00
_cell_angle_gamma 90.00
loop_
_atom_site_label
_atom_site_type_symbol
_atom_site_fract_x
_atom_site_fract_y
_atom_site_fract_z
Tb1 Tb 0.0000 0.0000 0.2407
Tm1 Tm 0.0000 0.5000 0.5000
Tm2 Tm 0.5000 0.5000 0.2325
Cd1 Cd 0.0000 0.5000 0.0000
Cd2 Cd 0.5000 0.0000 0.0000
Cd3 Cd 0.5000 0.0000 0.5000
```

E above lowest polymorph: 55 meV/atom
formation energy from the elements: -0.1729 eV per atom
total magnetic moment: 0.04 μB per atom

Entry 7:
# Pr2DySc

A relaxed structure of Pr2DySc (PBE, Alexandria via LeMat-Bulk).

CIF file:
```
data_Pr2DySc
_space_group_name_H-M_alt 'F m -3 m'
_space_group_IT_number 225
_space_group_name_Hall '-F 4 2 3'
_cell_length_a 8.0015
_cell_length_b 8.0015
_cell_length_c 8.0015
_cell_angle_alpha 90.00
_cell_angle_beta 90.00
_cell_angle_gamma 90.00
loop_
_atom_site_label
_atom_site_type_symbol
_atom_site_fract_x
_atom_site_fract_y
_atom_site_fract_z
Pr1 Pr 0.2500 0.2500 0.2500
Dy1 Dy 0.0000 0.0000 0.0000
Sc1 Sc 0.0000 0.0000 0.5000
```

E above lowest polymorph: 59 meV/atom
formation energy from the elements: 0.0995 eV per atom
total magnetic moment: 0.00 μB per atom

Entry 8:
# LaY2Si

A relaxed structure of LaY2Si (PBE, Alexandria via LeMat-Bulk).

CIF file:
```
data_LaY2Si
_space_group_name_H-M_alt 'R 3 m'
_space_group_IT_number 160
_space_group_name_Hall 'R 3 -2"'
_cell_length_a 3.9906
_cell_length_b 3.9906
_cell_length_c 28.0586
_cell_angle_alpha 90.00
_cell_angle_beta 90.00
_cell_angle_gamma 120.00
loop_
_atom_site_label
_atom_site_type_symbol
_atom_site_fract_x
_atom_site_fract_y
_atom_site_fract_z
La1 La 0.0000 0.0000 0.0000
Y1 Y 0.0000 0.0000 0.5541
Y2 Y 0.0000 0.0000 0.7722
Si1 Si 0.0000 0.0000 0.1625
```

raw formation energy: -209 meV per atom
total magnetic moment: 0.00 μB per atom

Entry 9:
# MgCo2Ni

A relaxed structure of MgCo2Ni (PBE, Alexandria via LeMat-Bulk).

CIF file:
```
data_MgCo2Ni
_space_group_name_H-M_alt 'P 4/m m m'
_space_group_IT_number 123
_space_group_name_Hall '-P 4 2'
_cell_length_a 2.6068
_cell_length_b 2.6068
_cell_length_c 7.3409
_cell_angle_alpha 90.00
_cell_angle_beta 90.00
_cell_angle_gamma 90.00
loop_
_atom_site_label
_atom_site_type_symbol
_atom_site_fract_x
_atom_site_fract_y
_atom_site_fract_z
Mg1 Mg 0.0000 0.0000 0.0000
Co1 Co 0.5000 0.5000 0.2753
Ni1 Ni 0.0000 0.0000 0.5000
```

formation energy from the elements: 0.1532 eV per atom
total magnetic moment: 0.87 μB per atom

Entry 10:
# Ba2Sn3Ge

A relaxed structure of Ba2Sn3Ge (PBE, Alexandria via LeMat-Bulk).

CIF file:
```
data_Ba2Sn3Ge
_space_group_name_H-M_alt 'C 1 m 1'
_space_group_IT_number 8
_space_group_name_Hall 'C -2y'
_cell_length_a 13.4411
_cell_length_b 4.6822
_cell_length_c 9.0584
_cell_angle_alpha 90.00
_cell_angle_beta 132.37
_cell_angle_gamma 90.00
loop_
_atom_site_label
_atom_site_type_symbol
_atom_site_fract_x
_atom_site_fract_y
_atom_site_fract_z
Ba1 Ba 0.0000 0.0000 0.0000
Ba2 Ba 0.9996 0.5000 0.5000
Sn1 Sn 0.2497 0.0000 0.5931
Sn2 Sn 0.2501 0.0000 0.9290
Sn3 Sn 0.2496 0.5000 0.4026
Ge1 Ge 0.2496 0.5000 0.0924
```

E above lowest polymorph: 4 meV/atom
formation energy from the elements: -0.5006 eV per atom
total magnetic moment: 0.00 μB per atom

Entry 11:
# EuHoRh4

A relaxed structure of EuHoRh4 (PBE, Alexandria via LeMat-Bulk).

CIF file:
```
data_EuHoRh4
_space_group_name_H-M_alt 'F -4 3 m'
_space_group_IT_number 216
_space_group_name_Hall 'F -4 2 3'
_cell_length_a 7.5891
_cell_length_b 7.5891
_cell_length_c 7.5891
_cell_angle_alpha 90.00
_cell_angle_beta 90.00
_cell_angle_gamma 90.00
loop_
_atom_site_label
_atom_site_type_symbol
_atom_site_fract_x
_atom_site_fract_y
_atom_site_fract_z
Eu1 Eu 0.0000 0.0000 0.0000
Ho1 Ho 0.2500 0.2500 0.7500
Rh1 Rh 0.1249 0.1249 0.3751
```

formation energy from the elements: -0.5990 eV per atom
total magnetic moment: 1.14 μB per atom

Entry 12:
# TiNb2Pt2

A relaxed structure of TiNb2Pt2 (PBE, Alexandria via LeMat-Bulk).

CIF file:
```
data_TiNb2Pt2
_space_group_name_H-M_alt 'P 4/m b m'
_space_group_IT_number 127
_space_group_name_Hall '-P 4 2ab'
_cell_length_a 7.9302
_cell_length_b 7.9302
_cell_length_c 2.8275
_cell_angle_alpha 90.00
_cell_angle_beta 90.00
_cell_angle_gamma 90.00
loop_
_atom_site_label
_atom_site_type_symbol
_atom_site_fract_x
_atom_site_fract_y
_atom_site_fract_z
Ti1 Ti 0.0000 0.0000 0.0000
Nb1 Nb 0.1688 0.3312 0.0000
Pt1 Pt 0.1280 0.6280 0.5000
```

E above lowest polymorph: 131 meV/atom
formation energy from the elements: -0.3013 eV per atom
total magnetic moment: 0.00 μB per atom

Entry 13:
# Li2Tb3Tl4

A relaxed structure of Li2Tb3Tl4 (PBE, Alexandria via LeMat-Bulk).

CIF file:
```
data_Li2Tb3Tl4
_space_group_name_H-M_alt 'C 1 2/c 1'
_space_group_IT_number 15
_space_group_name_Hall '-C 2yc'
_cell_length_a 10.6733
_cell_length_b 10.7320
_cell_length_c 8.3247
_cell_angle_alpha 90.00
_cell_angle_beta 103.57
_cell_angle_gamma 90.00
loop_
_atom_site_label
_atom_site_type_symbol
_atom_site_fract_x
_atom_site_fract_y
_atom_site_fract_z
Li1 Li 0.0862 0.1161 0.4003
Tb1 Tb 0.0000 0.1748 0.7500
Tb2 Tb 0.1511 0.3641 0.1489
Tl1 Tl 0.1444 0.3501 0.5391
Tl2 Tl 0.1788 0.0716 0.1115
```

E above lowest polymorph: 83 meV/atom
formation energy from the elements: -0.2181 eV per atom
total magnetic moment: 0.00 μB per atom

Entry 14:
# DyHo4Er2Mg

A relaxed structure of DyHo4Er2Mg (PBE, Alexandria via LeMat-Bulk).

CIF file:
```
data_DyHo4Er2Mg
_space_group_name_H-M_alt 'C 1 2/m 1'
_space_group_IT_number 12
_space_group_name_Hall '-C 2y'
_cell_length_a 12.0507
_cell_length_b 3.6508
_cell_length_c 11.4296
_cell_angle_alpha 90.00
_cell_angle_beta 106.92
_cell_angle_gamma 90.00
loop_
_atom_site_label
_atom_site_type_symbol
_atom_site_fract_x
_atom_site_fract_y
_atom_site_fract_z
Dy1 Dy 0.0000 0.0000 0.0000
Ho1 Ho 0.2185 0.5000 0.6097
Ho2 Ho 0.2369 0.0000 0.8675
Er1 Er 0.0234 0.5000 0.2732
Mg1 Mg 0.0000 0.0000 0.5000
```

formation energy from the elements: 0.0191 eV per atom
total magnetic moment: 0.00 μB per atom

Entry 15:
# CsTl2VCl6

A relaxed structure of CsTl2VCl6 (PBE, Alexandria via LeMat-Bulk).

CIF file:
```
data_CsTl2VCl6
_space_group_name_H-M_alt 'P 1'
_space_group_IT_number 1
_space_group_name_Hall 'P 1'
_cell_length_a 7.7430
_cell_length_b 7.7517
_cell_length_c 7.9476
_cell_angle_alpha 60.87
_cell_angle_beta 60.86
_cell_angle_gamma 60.04
loop_
_atom_site_label
_atom_site_type_symbol
_atom_site_fract_x
_atom_site_fract_y
_atom_site_fract_z
Cs1 Cs 0.0000 0.0000 0.0000
Tl1 Tl 0.2817 0.2822 0.1543
Tl2 Tl 0.7949 0.7946 0.6158
V1 V 0.4887 0.4888 0.5339
Cl1 Cl 0.1691 0.4079 0.7558
Cl2 Cl 0.2877 0.8013 0.3311
Cl3 Cl 0.4077 0.6660 0.7568
Cl4 Cl 0.5805 0.2882 0.3302
Cl5 Cl 0.6663 0.1697 0.7560
Cl6 Cl 0.8015 0.5805 0.3313
```

raw formation energy: -1289 meV per atom
total magnetic moment: 0.20 μB per atom

Entry 16:
# ZrCu2Re

A relaxed structure of ZrCu2Re (PBE, Alexandria via LeMat-Bulk).

CIF file:
```
data_ZrCu2Re
_space_group_name_H-M_alt 'P 1 m 1'
_space_group_IT_number 6
_space_group_name_Hall 'P -2y'
_cell_length_a 2.6875
_cell_length_b 4.3493
_cell_length_c 5.2323
_cell_angle_alpha 90.00
_cell_angle_beta 99.30
_cell_angle_gamma 90.00
loop_
_atom_site_label
_atom_site_type_symbol
_atom_site_fract_x
_atom_site_fract_y
_atom_site_fract_z
Zr1 Zr 0.0000 0.0000 0.0000
Cu1 Cu 0.5886 0.5000 0.2392
Cu2 Cu 0.6354 0.0000 0.4917
Re1 Re 0.2501 0.5000 0.6882
```

E above lowest polymorph: 10 meV/atom
formation energy from the elements: 0.0927 eV per atom
total magnetic moment: 0.00 μB per atom

Entry 17:
# V6AsRu5

A relaxed structure of V6AsRu5 (PBE, Alexandria via LeMat-Bulk).

CIF file:
```
data_V6AsRu5
_space_group_name_H-M_alt 'P 1 2/m 1'
_space_group_IT_number 10
_space_group_name_Hall '-P 2y'
_cell_length_a 4.2906
_cell_length_b 5.8471
_cell_length_c 6.8651
_cell_angle_alpha 90.00
_cell_angle_beta 106.55
_cell_angle_gamma 90.00
loop_
_atom_site_label
_atom_site_type_symbol
_atom_site_fract_x
_atom_site_fract_y
_atom_site_fract_z
V1 V 0.0000 0.2293 0.0000
V2 V 0.3289 0.2507 0.6754
As1 As 0.5000 0.0000 0.0000
Ru1 Ru 0.1746 0.5000 0.3395
Ru2 Ru 0.1898 0.0000 0.3599
Ru3 Ru 0.5000 0.5000 0.0000
```

formation energy from the elements: -0.2030 eV per atom
total magnetic moment: 0.00 μB per atom

Entry 18:
# TiCdHgPd

A relaxed structure of TiCdHgPd (PBE, Alexandria via LeMat-Bulk).

CIF file:
```
data_TiCdHgPd
_space_group_name_H-M_alt 'I 4 m m'
_space_group_IT_number 107
_space_group_name_Hall 'I 4 -2'
_cell_length_a 3.0271
_cell_length_b 3.0271
_cell_length_c 17.7474
_cell_angle_alpha 90.00
_cell_angle_beta 90.00
_cell_angle_gamma 90.00
loop_
_atom_site_label
_atom_site_type_symbol
_atom_site_fract_x
_atom_site_fract_y
_atom_site_fract_z
Ti1 Ti 0.0000 0.0000 0.0000
Cd1 Cd 0.0000 0.0000 0.2028
Hg1 Hg 0.0000 0.0000 0.8429
Pd1 Pd 0.0000 0.0000 0.5896
```

formation energy from the elements: -0.0820 eV per atom
total magnetic moment: 0.28 μB per atom

Entry 19:
# Re3Tc4

A relaxed structure of Re3Tc4 (PBE, Alexandria via LeMat-Bulk).

CIF file:
```
data_Re3Tc4
_space_group_name_H-M_alt 'P 6/m m m'
_space_group_IT_number 191
_space_group_name_Hall '-P 6 2'
_cell_length_a 5.0440
_cell_length_b 5.0440
_cell_length_c 4.8701
_cell_angle_alpha 90.00
_cell_angle_beta 90.00
_cell_angle_gamma 120.00
loop_
_atom_site_label
_atom_site_type_symbol
_atom_site_fract_x
_atom_site_fract_y
_atom_site_fract_z
Re1 Re 0.0000 0.5000 0.0000
Tc1 Tc 0.0000 0.0000 0.2624
Tc2 Tc 0.3333 0.6667 0.5000
```

E above lowest polymorph: 105 meV/atom
formation energy from the elements: 0.1682 eV per atom
total magnetic moment: 0.00 μB per atom

Entry 20:
# Ho2ThRh

A relaxed structure of Ho2ThRh (PBE, Alexandria via LeMat-Bulk).

CIF file:
```
data_Ho2ThRh
_space_group_name_H-M_alt 'P n m a'
_space_group_IT_number 62
_space_group_name_Hall '-P 2ac 2n'
_cell_length_a 7.0902
_cell_length_b 9.6669
_cell_length_c 6.3954
_cell_angle_alpha 90.00
_cell_angle_beta 90.00
_cell_angle_gamma 90.00
loop_
_atom_site_label
_atom_site_type_symbol
_atom_site_fract_x
_atom_site_fract_y
_atom_site_fract_z
Ho1 Ho 0.1778 0.0654 0.1663
Th1 Th 0.0375 0.2500 0.6530
Rh1 Rh 0.1270 0.7500 0.9463
```

E above lowest polymorph: 0 meV/atom
formation energy from the elements: -0.5138 eV per atom
total magnetic moment: 0.00 μB per atom

Number 1: Fermi-level density of states 54.711 states/eV per cell. Number 2: Fermi-level density of states 27.061 states/eV per cell. Number 3: Fermi-level density of states 40.459 states/eV per cell. Number 4: Fermi-level density of states 10.762 states/eV per cell. Number 5: Fermi-level density of states 19.177 states/eV per cell. Number 6: Fermi-level density of states 9.302 states/eV per cell. Number 7: Fermi-level density of states 26.661 states/eV per cell. Number 8: Fermi-level density of states 15.585 states/eV per cell. Number 9: Fermi-level density of states 6.360 states/eV per cell. Number 10: Fermi-level density of states 5.079 states/eV per cell. Number 11: Fermi-level density of states 50.707 states/eV per cell. Number 12: Fermi-level density of states 7.186 states/eV per cell. Number 13: Fermi-level density of states 22.480 states/eV per cell. Number 14: Fermi-level density of states 19.559 states/eV per cell. Number 15: Fermi-level density of states 9.771 states/eV per cell. Number 16: Fermi-level density of states 1.818 states/eV per cell. Number 17: Fermi-level density of states 15.549 states/eV per cell. Number 18: Fermi-level density of states 6.618 states/eV per cell. Number 19: Fermi-level density of states 9.516 states/eV per cell. Number 20: Fermi-level density of states 18.073 states/eV per cell.